A relaxed structure of CsSnAsS6, computed with PBE.

Properties
total moment	1.5	μB per formula unit
crystal system	monoclinic
total DFT energy (no corrections)	-3.88	eV per atom
formation energy (no corrections)	-0.07	eV per atom

a b c (Å): 6.183 6.182 8.480
angles (deg): 90.02 89.98 59.82
Last column: magnetic moment on the atom in μB.
Sites, in units of the cell vectors:
S (0.027, 0.347, 0.328)  0.16
S (0.347, 0.027, 0.672)  0.16
S (0.627, 0.026, 0.328)  0.16
Sn (0.666, 0.666, 0.500)  0.00
As (0.334, 0.334, 0.500)  -0.01
Cs (0.000, 0.000, 0.000)  0.00
S (0.026, 0.627, 0.672)  0.16
S (0.347, 0.626, 0.328)  0.16
S (0.626, 0.347, 0.672)  0.16